No. 1
{"formula": "PrSnTeAuSe2", "functional": "PBE", "state": "relaxed", "lattice_angstrom": [[2.085, -7.138, 0.000], [2.085, 7.138, 0.000], [0.000, 0.000, 11.327]], "species": ["Te", "Te", "Pr", "Pr", "Se", "Se", "Se", "Se", "Au", "Au", "Sn", "Sn"], "fractional_positions": [[0.393, 0.607, 0.250], [0.607, 0.393, 0.750], [0.500, 0.500, 0.000], [0.500, 0.500, 0.500], [0.857, 0.143, 0.566], [0.143, 0.857, 0.434], [0.143, 0.857, 0.066], [0.857, 0.143, 0.934], [0.974, 0.026, 0.750], [0.026, 0.974, 0.250], [0.294, 0.706, 0.750], [0.706, 0.294, 0.250]], "crystal_system": "orthorhombic", "mass_density_g_cm3": 7.31, "sg": "Cmcm", "dft_energy_ev_per_atom": -4.51}



No. 2
{"formula": "Lu2Ta4Sb3C3", "functional": "PBE", "state": "relaxed", "lattice_angstrom": [[-1.185, 2.097, -5.405], [-5.201, 2.617, -1.057], [7.464, 10.362, 5.655]], "species": ["Lu", "Lu", "Lu", "Lu", "Ta", "Ta", "Ta", "Ta", "Ta", "Ta", "Ta", "Ta", "Sb", "Sb", "Sb", "Sb", "Sb", "Sb", "C", "C", "C", "C", "C", "C"], "fractional_positions": [[0.375, 0.533, 0.098], [0.467, 0.625, 0.402], [0.533, 0.375, 0.598], [0.625, 0.467, 0.902], [0.018, 0.201, 0.077], [0.982, 0.799, 0.923], [0.694, 0.850, 0.077], [0.201, 0.018, 0.577], [0.306, 0.150, 0.923], [0.799, 0.982, 0.423], [0.850, 0.694, 0.577], [0.150, 0.306, 0.423], [0.586, 0.783, 0.752], [0.949, 0.051, 0.750], [0.217, 0.414, 0.748], [0.783, 0.586, 0.252], [0.414, 0.217, 0.248], [0.051, 0.949, 0.250], [0.155, 0.672, 0.500], [0.328, 0.845, 0.000], [0.000, 0.500, 0.000], [0.845, 0.328, 0.500], [0.672, 0.155, 0.000], [0.500, 0.000, 0.500]], "crystal_system": "monoclinic", "mass_density_g_cm3": 11.91, "sg": "C2/c", "dft_energy_ev_per_atom": -8.50}



No. 3
{"formula": "Tm2MgCd6", "functional": "PBE", "state": "relaxed", "lattice_angstrom": [[5.401, -2.333, 0.000], [5.401, 2.333, 0.000], [-1.995, 0.000, 8.081]], "species": ["Cd", "Cd", "Cd", "Cd", "Cd", "Cd", "Tm", "Tm", "Mg"], "fractional_positions": [[0.067, 0.067, 0.836], [0.161, 0.161, 0.540], [0.933, 0.933, 0.164], [0.558, 0.558, 0.353], [0.442, 0.442, 0.647], [0.839, 0.839, 0.460], [0.241, 0.241, 0.185], [0.759, 0.759, 0.815], [0.500, 0.500, 0.000]], "crystal_system": "monoclinic", "mass_density_g_cm3": 8.45, "sg": "C2/m", "dft_energy_ev_per_atom": -1.94}



No. 4
{"formula": "TlNiW4N2", "functional": "PBE", "state": "relaxed", "lattice_angstrom": [[-1.684, 0.931, -2.123], [1.997, -1.988, -0.522], [-9.976, -10.852, 3.155]], "species": ["Tl", "N", "N", "W", "W", "W", "W", "Ni"], "fractional_positions": [[0.667, 0.333, 0.500], [0.000, 0.000, 0.238], [0.000, 0.000, 0.762], [0.667, 0.333, 0.860], [0.667, 0.333, 0.140], [0.333, 0.667, 0.331], [0.333, 0.667, 0.669], [0.333, 0.667, 0.000]], "crystal_system": "hexagonal", "mass_density_g_cm3": 15.90, "sg": "P-6m2", "dft_energy_ev_per_atom": -9.19}



No. 5
{"formula": "SrYAuS3", "functional": "PBE", "state": "relaxed", "lattice_angstrom": [[6.660, -2.011, 0.000], [6.660, 2.011, 0.000], [0.000, 0.000, 10.333]], "species": ["Au", "Au", "Sr", "Sr", "Y", "Y", "S", "S", "S", "S", "S", "S"], "fractional_positions": [[0.467, 0.467, 0.250], [0.533, 0.533, 0.750], [0.247, 0.247, 0.750], [0.753, 0.753, 0.250], [0.000, 0.000, 0.500], [0.000, 0.000, 0.000], [0.359, 0.359, 0.446], [0.912, 0.912, 0.750], [0.641, 0.641, 0.554], [0.359, 0.359, 0.054], [0.088, 0.088, 0.250], [0.641, 0.641, 0.946]], "crystal_system": "orthorhombic", "mass_density_g_cm3": 5.64, "e_above_lowest_polymorph_kj_per_mol_atoms": 0.4, "sg": "Cmcm"}



No. 6
{"formula": "NpAlW", "functional": "PBE", "state": "relaxed", "lattice_angstrom": [[-4.395, -0.406, 1.028], [-2.167, 3.402, 2.067], [-3.090, 2.425, -2.262]], "species": ["W", "Np", "Al"], "fractional_positions": [[0.000, 0.000, 0.000], [0.250, 0.250, 0.250], [0.500, 0.500, 0.500]], "crystal_system": "cubic", "mass_density_g_cm3": 11.30, "e_above_lowest_polymorph_kj_per_mol_atoms": 72.0, "sg": "F-43m"}